# 1
Below is BiAsPt after structural relaxation, with properties calculated at the PBE-GGA level.

The structure in POSCAR format:
```
BiAsPt
1.0
0.000 3.267 3.267
3.267 0.000 3.267
3.267 3.267 0.000
As Bi Pt
1 1 1
direct
0.250 0.250 0.250
0.750 0.750 0.750
0.000 0.000 0.000
```

Values from the calculation:
space-group type: F-43m
energy above the lowest structure with this stoichiometry: 0 meV per atom

---

# 2
Below is PuBiAs after structural relaxation, with properties calculated at the PBE-GGA level.

The structure in POSCAR format:
```
PuBiAs
1.0
0.000 3.521 3.521
3.521 0.000 3.521
3.521 3.521 0.000
Bi Pu As
1 1 1
direct
0.250 0.250 0.250
0.750 0.750 0.750
0.000 0.000 0.000
```

Values from the calculation:
space-group type: F-43m

---

Across the entries above, raw total energy takes the values -15.32, -23.62 eV for the cell shown, respectively.